Below is crystalline ZrCrTc2 at its relaxed geometry, with properties calculated at the GGA-PBE level.

abc: 2.7761 2.7761 8.6225
angles: 90.00 90.00 111.12
Fractional coordinates of all 4 atoms:
Zr  0.5000  0.5000  0.2500
Tc  0.0000  0.0000  0.5252
Tc  0.0000  0.0000  0.9748
Cr  0.5000  0.5000  0.7500

E_form: 0.100 eV per atom
Crystal system: orthorhombic
DOS(E_F): 1.14 states/eV per atom
DFT total energy: -9.625 eV per atom
SG: Cmmm, No. 65